Record 1
A PBEsol-optimized structure of BeTe. Source: the Alexandria database, functional SCAN.

Computed properties:
The space group is F-43m, No. 216. As for the energy above the lowest structure with this stoichiometry: 0 meV per atom.

```
BeTe
1.0
0.0000 2.8059 2.8059
2.8059 0.0000 2.8059
2.8059 2.8059 0.0000
Be Te
1 1
direct
0.0000 0.0000 0.0000 Be
0.2500 0.2500 0.2500 Te
```


Record 2
A PBEsol-optimized structure of Be4Te. Source: the Alexandria database, functional SCAN.

Computed properties:
The space group is I4/m, No. 87. As for the energy above the lowest structure with this stoichiometry: 0 meV per atom.

```
Be4Te
1.0
-2.9623 2.9623 1.7841
2.9623 -2.9623 1.7841
2.9623 2.9623 -1.7841
Be Te
4 1
direct
0.0697 0.6621 0.7318 Be
0.3379 0.0697 0.4076 Be
0.6621 0.9303 0.5924 Be
0.9303 0.3379 0.2682 Be
0.5000 0.5000 0.0000 Te
```


Record 3
A PBEsol-optimized structure of BeTe. Source: the Alexandria database, functional SCAN.

Computed properties:
The space group is P4/nmm, No. 129. As for the energy above the lowest structure with this stoichiometry: 142 meV per atom.

```
BeTe
1.0
3.8714 0.0000 0.0000
0.0000 3.8714 0.0000
0.0000 0.0000 6.2670
Be Te
2 2
direct
0.2500 0.7500 0.0000 Be
0.7500 0.2500 0.0000 Be
0.2500 0.2500 0.2449 Te
0.7500 0.7500 0.7551 Te
```


Record 4
A PBEsol-optimized structure of BeTe. Source: the Alexandria database, functional SCAN.

Computed properties:
The space group is P6_3mc, No. 186. As for the energy above the lowest structure with this stoichiometry: 7 meV per atom.

```
BeTe
1.0
3.9526 0.0000 0.0000
-1.9763 3.4230 0.0000
0.0000 0.0000 6.5254
Be Te
2 2
direct
0.3333 0.6667 0.0000 Be
0.6667 0.3333 0.5000 Be
0.3333 0.6667 0.6262 Te
0.6667 0.3333 0.1262 Te
```


Record 5
A PBEsol-optimized structure of BeTe. Source: the Alexandria database, functional SCAN.

Computed properties:
The space group is P-3m1, No. 164. As for the energy above the lowest structure with this stoichiometry: 112 meV per atom.

```
BeTe
1.0
3.9180 0.0000 0.0000
-1.9590 3.3931 0.0000
0.0000 0.0000 6.9529
Be Te
2 2
direct
0.3333 0.6667 0.1124 Be
0.6667 0.3333 0.8876 Be
0.3333 0.6667 0.7529 Te
0.6667 0.3333 0.2471 Te
```


Record 6
A PBEsol-optimized structure of Be3Te4. Source: the Alexandria database, functional SCAN.

Computed properties:
The space group is P6/mmm, No. 191.

```
Be3Te4
1.0
4.6988 0.0000 0.0000
-2.3494 4.0693 0.0000
0.0000 0.0000 8.3520
Be Te
3 4
direct
0.0000 0.5000 0.0000 Be
0.5000 0.0000 0.0000 Be
0.5000 0.5000 0.0000 Be
0.0000 0.0000 0.1974 Te
0.0000 0.0000 0.8026 Te
0.3333 0.6667 0.5000 Te
0.6667 0.3333 0.5000 Te
```


Record 7
A PBEsol-optimized structure of Be4Te. Source: the Alexandria database, functional SCAN.

Computed properties:
The space group is Im-3m, No. 229. As for the energy above the lowest structure with this stoichiometry: 772 meV per atom.

```
Be4Te
1.0
-2.7655 2.7655 2.7655
2.7655 -2.7655 2.7655
2.7655 2.7655 -2.7655
Be Te
4 1
direct
0.0000 0.0000 0.5000 Be
0.0000 0.5000 0.0000 Be
0.5000 0.0000 0.0000 Be
0.5000 0.5000 0.5000 Be
0.0000 0.0000 0.0000 Te
```


Record 8
A PBEsol-optimized structure of BeTe. Source: the Alexandria database, functional SCAN.

Computed properties:
The space group is R-3m, No. 166. As for the energy above the lowest structure with this stoichiometry: 113 meV per atom.

```
BeTe
1.0
1.9603 1.1318 6.9998
-1.9603 1.1318 6.9998
0.0000 -2.2636 6.9998
Be Te
2 2
direct
0.1295 0.1295 0.1295 Be
0.8705 0.8705 0.8705 Be
0.2484 0.2484 0.2484 Te
0.7516 0.7516 0.7516 Te
```


Record 9
A PBEsol-optimized structure of TiBeTe3. Source: the Alexandria database, functional SCAN.

Computed properties:
The space group is Pm-3m, No. 221.

```
TiBeTe3
1.0
5.2426 0.0000 0.0000
0.0000 5.2426 0.0000
0.0000 0.0000 5.2426
Ti Be Te
1 1 3
direct
0.0000 0.0000 0.0000 Ti
0.5000 0.5000 0.5000 Be
0.0000 0.0000 0.5000 Te
0.0000 0.5000 0.0000 Te
0.5000 0.0000 0.0000 Te
```


Record 10
A PBEsol-optimized structure of TiBeTe2W. Source: the Alexandria database, functional SCAN.

Computed properties:
The space group is P4/mmm, No. 123.

```
TiBeTe2W
1.0
4.7776 0.0000 0.0000
0.0000 4.7776 0.0000
0.0000 0.0000 4.1204
Ti Be Te W
1 1 2 1
direct
0.0000 0.0000 0.0000 Ti
0.5000 0.5000 0.5000 Be
0.0000 0.5000 0.5000 Te
0.5000 0.0000 0.5000 Te
0.5000 0.5000 0.0000 W
```


Record 11
A PBEsol-optimized structure of Be3TlTe. Source: the Alexandria database, functional SCAN.

Computed properties:
The space group is Pm-3m, No. 221.

```
Be3TlTe
1.0
4.6168 0.0000 0.0000
0.0000 4.6168 0.0000
0.0000 0.0000 4.6168
Be Tl Te
3 1 1
direct
0.0000 0.0000 0.5000 Be
0.0000 0.5000 0.0000 Be
0.5000 0.0000 0.0000 Be
0.0000 0.0000 0.0000 Tl
0.5000 0.5000 0.5000 Te
```


Record 12
A PBEsol-optimized structure of BeTlTe2. Source: the Alexandria database, functional SCAN.

Computed properties:
The space group is P4mm, No. 99. As for the energy above the lowest structure with this stoichiometry: 14 meV per atom.

```
BeTlTe2
1.0
3.4009 0.0000 0.0000
0.0000 3.4009 0.0000
0.0000 0.0000 9.3144
Be Tl Te
1 1 2
direct
0.0000 0.0000 0.0000 Be
0.5000 0.5000 0.5398 Tl
0.0000 0.0000 0.2577 Te
0.5000 0.5000 0.9047 Te
```


Number 1: ΔE_f (raw) -444.0 meV per atom, total energy -21.246 eV per atom, total magnetic moment 0.00 μB per atom. Number 2: ΔE_f (raw) 583.2 meV per atom, total energy -10.350 eV per atom, total magnetic moment 0.00 μB per atom. Number 3: ΔE_f (raw) -302.2 meV per atom, total energy -21.105 eV per atom, total magnetic moment 0.00 μB per atom. Number 4: ΔE_f (raw) -436.8 meV per atom, total energy -21.239 eV per atom, total magnetic moment 0.00 μB per atom. Number 5: ΔE_f (raw) -331.8 meV per atom, total energy -21.134 eV per atom, total magnetic moment 0.00 μB per atom. Number 6: ΔE_f (raw) 447.3 meV per atom, total energy -22.705 eV per atom, total magnetic moment 0.00 μB per atom. Number 7: ΔE_f (raw) 1354.7 meV per atom, total energy -9.578 eV per atom, total magnetic moment 0.00 μB per atom. Number 8: ΔE_f (raw) -331.4 meV per atom, total energy -21.134 eV per atom, total magnetic moment 0.00 μB per atom. Number 9: ΔE_f (raw) 493.3 meV per atom, total energy -25.934 eV per atom, total magnetic moment 0.00 μB per atom. Number 10: ΔE_f (raw) 901.6 meV per atom, total energy -32.013 eV per atom, total magnetic moment 0.06 μB per atom. Number 11: ΔE_f (raw) 969.3 meV per atom, total energy -23.565 eV per atom, total magnetic moment 0.00 μB per atom. Number 12: ΔE_f (raw) 46.7 meV per atom, total energy -37.757 eV per atom, total magnetic moment 0.00 μB per atom.